{"formula": "Tb4AgAu", "functional": "GGA-PBE", "state": "optimized geometry", "delta_e_f_mev_per_atom": -195, "crystal_system": "tetragonal", "cell": [[5.020, 0.000, 0.000], [0.000, 5.020, 0.000], [0.000, 0.000, 7.084]], "species": ["Tb", "Tb", "Tb", "Tb", "Ag", "Au"], "fractional_positions": [[0.000, 0.500, 0.245], [0.000, 0.500, 0.755], [0.500, 0.000, 0.245], [0.500, 0.000, 0.755], [0.000, 0.000, 0.500], [0.500, 0.500, 0.000]]}